3
Lattice="4.2324 0.0000 0.0000 -2.1162 3.6654 0.0000 0.0000 0.0000 5.9921" Properties=species:S:1:pos:R:3 comment="GaHgCl | Alexandria | PBE-GGA | optimized geometry" space_group="P3m1 (156)" formation_energy_uncorrected_ev_per_atom=-0.4303 energy_ha_per_atom=-0.0792 relative_energy_ev_per_fu=0.07 pbc="T T T"
Ga 0.0000 0.0000 0.0000
Hg 2.1162 1.2218 4.0600
Cl 0.0000 2.4436 1.3188